Entry 1:
{"formula": "CdFeHg2Os", "functional": "PBE", "state": "optimized geometry", "dft_energy_ev_per_fu": -16.2, "formation_enthalpy_0k_ev_per_atom": 0.994, "space_group": "P4/mmm (123)", "dos_ef_per_ev_cell": 5.50, "lattice_angstrom": [[-4.707, -0.798, 2.361], [1.184, -4.281, 0.915], [2.067, 1.566, 4.651]], "species": ["Hg", "Hg", "Fe", "Cd", "Os"], "frac_coords": [[0.500, 0.000, 0.000], [0.000, 0.000, 0.500], [0.000, 0.500, 0.000], [0.500, 0.500, 0.500], [0.000, 0.000, 0.000]]}

***

Entry 2:
{"formula": "CdFeHg2Pb", "functional": "PBE", "state": "optimized geometry", "dft_energy_ev_per_fu": -8.8, "formation_enthalpy_0k_ev_per_atom": 0.974, "space_group": "P4/mmm (123)", "dos_ef_per_ev_cell": 10.71, "lattice_angstrom": [[-5.339, 0.475, -0.038], [-0.343, -3.491, 4.650], [0.356, 4.264, 3.228]], "species": ["Pb", "Hg", "Hg", "Cd", "Fe"], "frac_coords": [[0.000, 0.500, 0.000], [0.000, 0.000, 0.500], [0.500, 0.000, 0.000], [0.000, 0.000, 0.000], [0.500, 0.500, 0.500]]}

***

Entry 3:
{"formula": "CdFeSn2Hg", "functional": "PBE", "state": "optimized geometry", "dft_energy_ev_per_fu": -16.7, "formation_enthalpy_0k_ev_per_atom": 0.203, "space_group": "P4/mmm (123)", "dos_ef_per_ev_cell": 1.96, "lattice_angstrom": [[-2.708, -3.850, -1.377], [2.729, -2.932, 2.831], [-3.258, 0.852, 4.024]], "species": ["Cd", "Sn", "Sn", "Hg", "Fe"], "frac_coords": [[0.500, 0.500, 0.500], [0.000, 0.500, 0.000], [0.500, 0.000, 0.000], [0.000, 0.000, 0.500], [0.000, 0.000, 0.000]]}